PBE-GGA HfTa3Ru, relaxed; space-group type = Pm-3m, No. 221; N(E_F) = 7.5 states/eV/f.u.; excess energy over the best structure of this formula in the dataset = 0.0 meV per atom; total moment = 0.00 μB per formula unit; formation enthalpy at 0 K = 0.934 eV/atom
1.0
4.7936 0.0000 0.0000
0.0000 4.7936 0.0000
0.0000 0.0000 4.7936
Hf Ru Ta
1 1 3
Direct
0.5000 0.5000 0.5000
0.0000 0.0000 0.0000
0.0000 0.0000 0.5000
0.0000 0.5000 0.0000
0.5000 0.0000 0.0000